Below is crystalline YCdInTe3 at its relaxed geometry, with properties calculated at the GGA-PBE level.

Summary:
distance to the lowest polymorph of the same formula: 0 meV/atom
ρ: 5.86 g cm⁻³
crystal system: orthorhombic

Unit cell a=4.446 b=15.287 c=11.647 alpha=90.00 beta=90.00 gamma=90.00
Space group Cmcm (No. 63)
Asymmetric unit:
Y: 0.000 0.000 0.000 x4
Cd: 0.000 0.464 0.250 x4
In: 0.000 0.241 0.750 x4
Te: 0.000 0.083 0.250 x4
Te: 0.000 0.361 0.050 x8